The following is a DFT calculation (PBE) of a relaxed SrTcBr crystal.

- ΔE to the lowest computed polymorph: 28.5 kJ per mole of atoms
- Formation energy from raw total energies: 60 kJ/mol of atoms

a b c (Å): 4.8630 4.8630 4.8630
angles (deg): 60.00 60.00 60.00
Each line ends with the local moment (μB).
Atoms (fractional coordinates):
1 Sr 0.0000 0.0000 0.0000  -0.05
2 Tc 0.5000 0.5000 0.5000  2.26
3 Br 0.7500 0.7500 0.7500  0.03

The following is a DFT calculation (PBE) of a relaxed MgTeAs2 crystal.

- ΔE to the lowest computed polymorph: 27.1 kJ per mole of atoms
- Formation energy from raw total energies: 3 kJ/mol of atoms

a b c (Å): 4.1007 4.0998 5.7046
angles (deg): 90.00 90.00 90.00
Atoms (fractional coordinates):
1 As 0.0000 0.0000 0.0427
2 As 0.0000 0.0000 0.4573
3 Mg 0.5000 0.5000 0.2500
4 Te 0.5000 0.5000 0.7500

The following is a DFT calculation (PBE) of a relaxed Fe4MoPt crystal.

- ΔE_f: -109 meV/atom

a b c (Å): 4.7288 4.7288 4.7288
angles (deg): 60.00 60.00 60.00
Each line ends with the local moment (μB).
Atoms (fractional coordinates):
1 Fe 0.1245 0.6252 0.6252  1.79
2 Fe 0.6252 0.6252 0.6252  1.79
3 Fe 0.6252 0.1245 0.6252  1.79
4 Fe 0.6252 0.6252 0.1245  1.79
5 Mo 0.2500 0.2500 0.2500  -0.89
6 Pt 0.0000 0.0000 0.0000  0.16

| no. | size of the total moment (μB/atom) |
| --- | --- |
| 1 | 0.81 |
| 2 | 0.00 |
| 3 | 1.06 |